P) # CuHgRh | Alexandria | PBE | optimized geometry
# **Mass density**: 12.67 g cm⁻³
data_CuHgRh
_chemical_formula_sum 'Cu1 Hg1 Rh1'
_cell_length_a 4.3526
_cell_length_b 4.3526
_cell_length_c 2.9326
_cell_angle_alpha 90.00
_cell_angle_beta 90.00
_cell_angle_gamma 120.00
_symmetry_space_group_name_H-M 'P 3 m 1'
_symmetry_Int_Tables_number 156
_symmetry_space_group_name_Hall 'P 3 -2"'
loop_
_atom_site_label
_atom_site_fract_x
_atom_site_fract_y
_atom_site_fract_z
Cu1 0.0000 0.0000 0.0000
Hg1 0.6667 0.3333 0.3191
Rh1 0.3333 0.6667 0.7697



Q) # CuHgRh | Alexandria | PBE | optimized geometry
# **Mass density**: 12.91 g cm⁻³
data_CuHgRh
_chemical_formula_sum 'Cu2 Hg2 Rh2'
_cell_length_a 3.0955
_cell_length_b 3.0955
_cell_length_c 9.8573
_cell_angle_alpha 90.00
_cell_angle_beta 90.00
_cell_angle_gamma 90.00
_symmetry_space_group_name_H-M 'I 4 m m'
_symmetry_Int_Tables_number 107
_symmetry_space_group_name_Hall 'I 4 -2'
loop_
_atom_site_label
_atom_site_fract_x
_atom_site_fract_y
_atom_site_fract_z
Cu1 0.0000 0.0000 0.0000
Hg1 0.0000 0.0000 0.3289
Rh1 0.0000 0.0000 0.6429



R) # CuHgRh | Alexandria | PBE | optimized geometry
# **Mass density**: 11.49 g cm⁻³
data_CuHgRh
_chemical_formula_sum 'Cu4 Hg4 Rh4'
_cell_length_a 5.9643
_cell_length_b 5.9643
_cell_length_c 5.9643
_cell_angle_alpha 90.00
_cell_angle_beta 90.00
_cell_angle_gamma 90.00
_symmetry_space_group_name_H-M 'F -4 3 m'
_symmetry_Int_Tables_number 216
_symmetry_space_group_name_Hall 'F -4 2 3'
loop_
_atom_site_label
_atom_site_fract_x
_atom_site_fract_y
_atom_site_fract_z
Cu1 0.0000 0.0000 0.0000
Hg1 0.2500 0.2500 0.2500
Rh1 0.2500 0.2500 0.7500



Which of them is the least stable? Correct choice: R).



P) # CuHg3Rh | Alexandria | PBE | optimized geometry
# **Mass density**: 9.00 g cm⁻³
data_CuHg3Rh
_chemical_formula_sum 'Cu1 Hg3 Rh1'
_cell_length_a 5.2142
_cell_length_b 5.2142
_cell_length_c 5.2142
_cell_angle_alpha 90.00
_cell_angle_beta 90.00
_cell_angle_gamma 90.00
_symmetry_space_group_name_H-M 'P m -3 m'
_symmetry_Int_Tables_number 221
_symmetry_space_group_name_Hall '-P 4 2 3'
loop_
_atom_site_label
_atom_site_fract_x
_atom_site_fract_y
_atom_site_fract_z
Cu1 0.0000 0.0000 0.0000
Hg1 0.0000 0.5000 0.5000
Rh1 0.5000 0.5000 0.5000



Q) # CuHg3Rh | Alexandria | PBE | optimized geometry
# **Mass density**: 10.91 g cm⁻³
data_CuHg3Rh
_chemical_formula_sum 'Cu1 Hg3 Rh1'
_cell_length_a 4.8907
_cell_length_b 4.8907
_cell_length_c 4.8907
_cell_angle_alpha 90.00
_cell_angle_beta 90.00
_cell_angle_gamma 90.00
_symmetry_space_group_name_H-M 'P m -3 m'
_symmetry_Int_Tables_number 221
_symmetry_space_group_name_Hall '-P 4 2 3'
loop_
_atom_site_label
_atom_site_fract_x
_atom_site_fract_y
_atom_site_fract_z
Cu1 0.0000 0.0000 0.0000
Hg1 0.0000 0.0000 0.5000
Rh1 0.5000 0.5000 0.5000



Which of them is the least stable? Correct choice: Q).



P) # CuHgRu | Alexandria | PBE | optimized geometry
# **Mass density**: 12.69 g cm⁻³
data_CuHgRu
_chemical_formula_sum 'Cu1 Hg1 Ru1'
_cell_length_a 2.8601
_cell_length_b 2.8601
_cell_length_c 6.7456
_cell_angle_alpha 90.00
_cell_angle_beta 90.00
_cell_angle_gamma 120.00
_symmetry_space_group_name_H-M 'P 3 m 1'
_symmetry_Int_Tables_number 156
_symmetry_space_group_name_Hall 'P 3 -2"'
loop_
_atom_site_label
_atom_site_fract_x
_atom_site_fract_y
_atom_site_fract_z
Cu1 0.0000 0.0000 0.0000
Hg1 0.6667 0.3333 0.3417
Ru1 0.3333 0.6667 0.6998



Q) # CuHgRu | Alexandria | PBE | optimized geometry
# **Mass density**: 11.41 g cm⁻³
data_CuHgRu
_chemical_formula_sum 'Cu4 Hg4 Ru4'
_cell_length_a 5.9678
_cell_length_b 5.9678
_cell_length_c 5.9678
_cell_angle_alpha 90.00
_cell_angle_beta 90.00
_cell_angle_gamma 90.00
_symmetry_space_group_name_H-M 'F -4 3 m'
_symmetry_Int_Tables_number 216
_symmetry_space_group_name_Hall 'F -4 2 3'
loop_
_atom_site_label
_atom_site_fract_x
_atom_site_fract_y
_atom_site_fract_z
Cu1 0.0000 0.0000 0.0000
Hg1 0.2500 0.2500 0.2500
Ru1 0.2500 0.2500 0.7500



Which of them is the least stable? Correct choice: Q).



P) # Cu2HgS | Alexandria | PBE | optimized geometry
# **Mass density**: 6.63 g cm⁻³
data_Cu2HgS
_chemical_formula_sum 'Cu8 Hg4 S4'
_cell_length_a 5.3793
_cell_length_b 5.3793
_cell_length_c 12.4491
_cell_angle_alpha 90.00
_cell_angle_beta 90.00
_cell_angle_gamma 90.00
_symmetry_space_group_name_H-M 'I -4 2 d'
_symmetry_Int_Tables_number 122
_symmetry_space_group_name_Hall 'I -4 2bw'
loop_
_atom_site_label
_atom_site_fract_x
_atom_site_fract_y
_atom_site_fract_z
Cu1 0.1269 0.2500 0.1250
Hg1 0.0000 0.0000 0.5000
S1 0.0000 0.0000 0.0000



Q) # Cu2HgS | Alexandria | PBE | optimized geometry
# **Mass density**: 9.24 g cm⁻³
data_Cu2HgS
_chemical_formula_sum 'Cu8 Hg4 S4'
_cell_length_a 6.3719
_cell_length_b 6.3719
_cell_length_c 6.3719
_cell_angle_alpha 90.00
_cell_angle_beta 90.00
_cell_angle_gamma 90.00
_symmetry_space_group_name_H-M 'F m -3 m'
_symmetry_Int_Tables_number 225
_symmetry_space_group_name_Hall '-F 4 2 3'
loop_
_atom_site_label
_atom_site_fract_x
_atom_site_fract_y
_atom_site_fract_z
Cu1 0.2500 0.2500 0.2500
Hg1 0.0000 0.0000 0.0000
S1 0.0000 0.0000 0.5000



Which of them is the least stable? Correct choice: Q).